## BaInTe2I (PBE)

Data for an optimized crystal structure of BaInTe2I.

Geometry as POSCAR:
```
BaInTe2I
1.0
-1.8580 -5.0106 -2.1367
5.0911 -0.7944 -2.5640
2.0322 -2.8510 4.9185
Ba In Te I
1 1 2 1
direct
0.5000 0.5000 0.5000
0.0000 0.0000 0.0000
0.5000 0.0000 0.0000
0.0000 0.5000 0.0000
0.0000 0.0000 0.5000
```

Formation energy (no corrections) (eV/atom): -0.745
Mass density (kg/m³): 5266
Relative energy among the computed polymorphs (eV/atom): 0.0000